1.
A plane-wave DFT calculation with PBE-GGA was carried out for Mg3Pd3Au2 after structural relaxation.

Unit cell a=7.743 b=7.743 c=5.299 alpha=90.00 beta=90.00 gamma=120.00
Fractional coordinates of all 16 atoms:
Mg: 0.000 0.389 0.250
Mg: 0.000 0.611 0.750
Mg: 0.389 0.000 0.250
Mg: 0.389 0.389 0.750
Mg: 0.611 0.000 0.750
Mg: 0.611 0.611 0.250
Pd: 0.000 0.225 0.750
Pd: 0.000 0.775 0.250
Pd: 0.225 0.000 0.750
Pd: 0.225 0.225 0.250
Pd: 0.775 0.000 0.250
Pd: 0.775 0.775 0.750
Au: 0.333 0.667 0.000
Au: 0.333 0.667 0.500
Au: 0.667 0.333 0.000
Au: 0.667 0.333 0.500

Computed properties:
Total magnetization   0.0 μB/f.u.
Space group   No. 193
Formation energy   -443 meV/atom
ΔE to the lowest computed polymorph   171 meV/atom

***

2.
A plane-wave DFT calculation with PBE-GGA was carried out for Cr2InTe after structural relaxation.

Unit cell a=8.266 b=8.266 c=8.266 alpha=24.87 beta=24.87 gamma=24.87
Fractional coordinates of all 4 atoms:
Cr: 0.246 0.246 0.246
Cr: 0.754 0.754 0.754
In: 0.000 0.000 0.000
Te: 0.500 0.500 0.500

Computed properties:
Total magnetization   7.6 μB/f.u.
Space group   No. 166
ΔE to the lowest computed polymorph   131 meV/atom